Material: Nb2Tl3CrO9
Method: DFT, PBE with a Hubbard U
State: relaxed

Unit cell a=5.720 b=5.720 c=7.020 alpha=90.00 beta=90.00 gamma=120.00
Atoms (fractional coordinates):
1 Cr 0.000 0.000 0.500
2 Tl 0.667 0.333 0.330
3 O 0.834 0.668 0.666
4 Nb 0.667 0.333 0.820
5 Tl 0.333 0.667 0.670
6 O 0.500 0.500 0.000
7 Tl 0.000 0.000 0.000
8 O 0.500 0.000 0.000
9 O 0.332 0.166 0.666
10 O 0.000 0.500 0.000
11 O 0.668 0.834 0.334
12 O 0.166 0.834 0.334
13 O 0.166 0.332 0.334
14 O 0.834 0.166 0.666
15 Nb 0.333 0.667 0.180

Output
- Space group: P-3m1
- Volume: 198.9 Å³/f.u.
- Calculated total energy: -104.4 eV for the cell shown
- Magnetization: 2.28 μB/cell